1.
Material: LiPr3Ag2
Method: DFT, PBE
State: relaxed

Calculated values
Calculated density: 6492 kg/m3
E above lowest polymorph: 9 meV/atom
Energy of formation from the pure elements: -124 meV/atom
Energy: -3.78 eV per atom

Geometry as CIF:
```
data_LiPr3Ag2
_chemical_formula_sum 'Li1 Pr3 Ag2'
_symmetry_space_group_name_H-M 'P 4/m m m'
_symmetry_Int_Tables_number 123
_symmetry_space_group_name_Hall '-P 4 2'
_cell_length_a 3.807
_cell_length_b 3.807
_cell_length_c 11.391
_cell_angle_alpha 90.00
_cell_angle_beta 90.00
_cell_angle_gamma 90.00
loop_
_atom_site_label
_atom_site_type_symbol
_atom_site_fract_x
_atom_site_fract_y
_atom_site_fract_z
Li1 Li 0.000 0.000 0.000
Pr1 Pr 0.500 0.500 0.173
Pr2 Pr 0.500 0.500 0.500
Ag1 Ag 0.000 0.000 0.331
```

=====

2.
Material: Li6PrAg4
Method: DFT, PBE
State: relaxed

Calculated values
Calculated density: 4809 kg/m3
Energy of formation from the pure elements: -138 meV/atom
Energy: -2.65 eV per atom

Geometry as CIF:
```
data_Li6PrAg4
_chemical_formula_sum 'Li6 Pr1 Ag4'
_symmetry_space_group_name_H-M 'P -6 m 2'
_symmetry_Int_Tables_number 187
_symmetry_space_group_name_Hall 'P -6 2'
_cell_length_a 7.6655
_cell_length_b 7.6655
_cell_length_c 4.1665
_cell_angle_alpha 90.00
_cell_angle_beta 90.00
_cell_angle_gamma 120.00
loop_
_atom_site_label
_atom_site_type_symbol
_atom_site_fract_x
_atom_site_fract_y
_atom_site_fract_z
Li1 Li 0.1998 0.3997 0.0000
Li2 Li 0.2587 0.1293 0.5000
Pr1 Pr 0.6667 0.3333 0.0000
Ag1 Ag 0.0000 0.0000 0.0000
Ag2 Ag 0.0691 0.5345 0.5000
```

=====

3.
Material: Li2PrAg7
Method: DFT, PBE
State: relaxed

Calculated values
Calculated density: 6650 kg/m3
Energy of formation from the pure elements: 20 meV/atom
Energy: -2.84 eV per atom

Geometry as CIF:
```
data_Li2PrAg7
_chemical_formula_sum 'Li4 Pr2 Ag14'
_symmetry_space_group_name_H-M 'C m m m'
_symmetry_Int_Tables_number 65
_symmetry_space_group_name_Hall '-C 2 2'
_cell_length_a 6.628
_cell_length_b 16.792
_cell_length_c 4.082
_cell_angle_alpha 90.00
_cell_angle_beta 90.00
_cell_angle_gamma 90.00
loop_
_atom_site_label
_atom_site_type_symbol
_atom_site_fract_x
_atom_site_fract_y
_atom_site_fract_z
Li1 Li 0.000 0.239 0.000
Pr1 Pr 0.000 0.500 0.500
Ag1 Ag 0.000 0.000 0.000
Ag2 Ag 0.000 0.117 0.500
Ag3 Ag 0.207 0.377 0.000
```

=====

4.
Material: Li3PrAg3
Method: DFT, PBE
State: relaxed

Calculated values
Calculated density: 5424 kg/m3
E above lowest polymorph: 0 meV/atom
Energy of formation from the pure elements: -168 meV/atom
Energy: -2.89 eV per atom

Geometry as CIF:
```
data_Li3PrAg3
_chemical_formula_sum 'Li6 Pr2 Ag6'
_symmetry_space_group_name_H-M 'P 1 21/m 1'
_symmetry_Int_Tables_number 11
_symmetry_space_group_name_Hall '-P 2yb'
_cell_length_a 8.361
_cell_length_b 4.902
_cell_length_c 8.367
_cell_angle_alpha 90.00
_cell_angle_beta 119.94
_cell_angle_gamma 90.00
loop_
_atom_site_label
_atom_site_type_symbol
_atom_site_fract_x
_atom_site_fract_y
_atom_site_fract_z
Li1 Li 0.008 0.250 0.271
Li2 Li 0.229 0.250 0.737
Li3 Li 0.238 0.750 0.509
Pr1 Pr 0.333 0.750 0.167
Ag1 Ag 0.079 0.250 0.961
Ag2 Ag 0.383 0.250 0.422
Ag3 Ag 0.461 0.750 0.883
```

=====

5.
Material: Li3Pr2Ag4
Method: DFT, PBE
State: relaxed

Calculated values
Calculated density: 6328 kg/m3
Energy of formation from the pure elements: -178 meV/atom
Energy: -3.15 eV per atom

Geometry as CIF:
```
data_Li3Pr2Ag4
_chemical_formula_sum 'Li12 Pr8 Ag16'
_symmetry_space_group_name_H-M 'C m c e'
_symmetry_Int_Tables_number 64
_symmetry_space_group_name_Hall '-C 2ac 2'
_cell_length_a 5.748
_cell_length_b 16.258
_cell_length_c 8.246
_cell_angle_alpha 90.00
_cell_angle_beta 90.00
_cell_angle_gamma 90.00
loop_
_atom_site_label
_atom_site_type_symbol
_atom_site_fract_x
_atom_site_fract_y
_atom_site_fract_z
Li1 Li 0.000 0.000 0.000
Li2 Li 0.250 0.218 0.250
Pr1 Pr 0.000 0.113 0.591
Ag1 Ag 0.000 0.187 0.971
Ag2 Ag 0.250 0.055 0.250
```

=====

6.
Material: Li3PrAg2
Method: DFT, PBE
State: relaxed

Calculated values
Calculated density: 5066 kg/m3
Energy of formation from the pure elements: -158 meV/atom
Energy: -2.86 eV per atom

Geometry as CIF:
```
data_Li3PrAg2
_chemical_formula_sum 'Li12 Pr4 Ag8'
_symmetry_space_group_name_H-M 'C 1 2/m 1'
_symmetry_Int_Tables_number 12
_symmetry_space_group_name_Hall '-C 2y'
_cell_length_a 14.206
_cell_length_b 4.464
_cell_length_c 8.988
_cell_angle_alpha 90.00
_cell_angle_beta 119.75
_cell_angle_gamma 90.00
loop_
_atom_site_label
_atom_site_type_symbol
_atom_site_fract_x
_atom_site_fract_y
_atom_site_fract_z
Li1 Li 0.057 0.000 0.395
Li2 Li 0.079 0.500 0.684
Li3 Li 0.219 0.500 0.547
Pr1 Pr 0.135 0.000 0.015
Ag1 Ag 0.068 0.500 0.201
Ag2 Ag 0.204 0.000 0.726
```